## NbCuSnOs (PBE-GGA)

Data for an optimized crystal structure of NbCuSnOs.

Unit cell a=4.435 b=3.189 c=4.871 alpha=90.00 beta=103.59 gamma=90.00
Atoms (fractional coordinates):
Nb 0.000 0.000 0.000
Cu 0.499 0.000 0.501
Sn 0.999 0.500 0.500
Os 0.500 0.500 0.000

Properties
Formation energy = 0.213 eV/atom
Symmetry = Pm

***

## NbCuSnOs (PBE-GGA)

Data for an optimized crystal structure of NbCuSnOs.

Unit cell a=3.249 b=3.249 c=6.333 alpha=90.00 beta=90.00 gamma=90.00
Atoms (fractional coordinates):
Nb 0.000 0.000 0.000
Cu 0.000 0.000 0.558
Sn 0.500 0.500 0.316
Os 0.500 0.500 0.776

Properties
Formation energy = 0.042 eV/atom
Symmetry = P4mm

***

## NbCuSnOs (PBE-GGA)

Data for an optimized crystal structure of NbCuSnOs.

Unit cell a=3.081 b=4.542 c=4.749 alpha=90.00 beta=90.00 gamma=90.00
Atoms (fractional coordinates):
Nb 0.000 0.000 0.000
Cu 0.500 0.500 0.135
Sn 0.000 0.500 0.616
Os 0.500 0.000 0.468

Properties
Formation energy = 0.133 eV/atom
Symmetry = Pmm2

***

## NbCuSnOs (PBE-GGA)

Data for an optimized crystal structure of NbCuSnOs.

Unit cell a=6.401 b=6.401 c=6.401 alpha=90.00 beta=90.00 gamma=90.00
Atoms (fractional coordinates):
Nb 0.000 0.000 0.000
Nb 0.000 0.500 0.500
Nb 0.500 0.000 0.500
Nb 0.500 0.500 0.000
Cu 0.250 0.250 0.750
Cu 0.250 0.750 0.250
Cu 0.750 0.250 0.250
Cu 0.750 0.750 0.750
Sn 0.000 0.000 0.500
Sn 0.000 0.500 0.000
Sn 0.500 0.000 0.000
Sn 0.500 0.500 0.500
Os 0.250 0.250 0.250
Os 0.250 0.750 0.750
Os 0.750 0.250 0.750
Os 0.750 0.750 0.250

Properties
Formation energy = 0.004 eV/atom
Symmetry = F-43m

***

## NbCuSnOs (PBE-GGA)

Data for an optimized crystal structure of NbCuSnOs.

Unit cell a=9.330 b=3.147 c=4.660 alpha=90.00 beta=101.67 gamma=90.00
Atoms (fractional coordinates):
Nb 0.000 0.000 0.000
Nb 0.500 0.500 0.000
Cu 0.251 0.000 0.791
Cu 0.751 0.500 0.791
Sn 0.260 0.500 0.312
Sn 0.760 0.000 0.312
Os 0.007 0.500 0.547
Os 0.507 0.000 0.547

Properties
Formation energy = 0.165 eV/atom
Symmetry = Cm

***

## NbCuSnOs (PBE-GGA)

Data for an optimized crystal structure of NbCuSnOs.

Unit cell a=4.101 b=4.300 c=3.791 alpha=90.00 beta=90.00 gamma=90.00
Atoms (fractional coordinates):
Nb 0.000 0.000 0.000
Cu 0.000 0.500 0.492
Sn 0.500 0.500 0.043
Os 0.500 0.000 0.572

Properties
Formation energy = 0.158 eV/atom
Symmetry = Pmm2